No. 1
The following is a DFT calculation (meta-GGA SCAN) of BaSI2 at its PBEsol-relaxed geometry.

Lattice parameters (Å, degrees): 5.762 5.762 5.762 60.00 60.00 60.00
Sites, in units of the cell vectors:
1 Ba 0.000 0.000 0.000
2 S 0.500 0.500 0.500
3 I 0.250 0.250 0.250
4 I 0.750 0.750 0.750

No. 2
The following is a DFT calculation (meta-GGA SCAN) of Cd2TcCl at its PBEsol-relaxed geometry.

Lattice parameters (Å, degrees): 8.850 8.850 8.850 20.38 20.38 20.38
Sites, in units of the cell vectors:
1 Cd 0.249 0.249 0.249
2 Cd 0.751 0.751 0.751
3 Tc 0.500 0.500 0.500
4 Cl 0.000 0.000 0.000

No. 3
The following is a DFT calculation (meta-GGA SCAN) of BaCa2Sn2 at its PBEsol-relaxed geometry.

Lattice parameters (Å, degrees): 7.638 7.638 7.638 141.07 141.07 56.23
Sites, in units of the cell vectors:
1 Ba 0.000 0.000 0.000
2 Ca 0.250 0.750 0.500
3 Ca 0.750 0.250 0.500
4 Sn 0.393 0.393 0.000
5 Sn 0.607 0.607 0.000

Properties
formation enthalpy at 0 K	-0.6554	eV per atom

No. 4
The following is a DFT calculation (meta-GGA SCAN) of Li3ZrCl at its PBEsol-relaxed geometry.

Lattice parameters (Å, degrees): 4.577 4.577 4.577 90.00 90.00 90.00
Sites, in units of the cell vectors:
1 Li 0.000 0.000 0.500
2 Li 0.000 0.500 0.000
3 Li 0.500 0.000 0.000
4 Zr 0.500 0.500 0.500
5 Cl 0.000 0.000 0.000

No. 5
The following is a DFT calculation (meta-GGA SCAN) of GaBi2SeO at its PBEsol-relaxed geometry.

Lattice parameters (Å, degrees): 4.869 4.869 4.673 90.00 90.00 90.00
Sites, in units of the cell vectors:
1 Ga 0.000 0.000 0.000
2 Bi 0.000 0.500 0.500
3 Bi 0.500 0.000 0.500
4 Se 0.500 0.500 0.000
5 O 0.000 0.000 0.500

No. 6
The following is a DFT calculation (meta-GGA SCAN) of ZrNi2Cl at its PBEsol-relaxed geometry.

Lattice parameters (Å, degrees): 2.949 4.183 4.573 90.00 90.00 90.00
Sites, in units of the cell vectors:
1 Zr 0.000 0.000 0.000
2 Ni 0.000 0.500 0.500
3 Ni 0.500 0.000 0.500
4 Cl 0.500 0.500 0.000

No. 7
The following is a DFT calculation (meta-GGA SCAN) of FePIr2 at its PBEsol-relaxed geometry.

Lattice parameters (Å, degrees): 4.217 4.217 4.217 60.00 60.00 60.00
Sites, in units of the cell vectors:
1 Fe 0.000 0.000 0.000
2 P 0.750 0.750 0.750
3 Ir 0.250 0.250 0.250
4 Ir 0.500 0.500 0.500

Properties
formation enthalpy at 0 K	0.2459	eV per atom

No. 8
The following is a DFT calculation (meta-GGA SCAN) of SiRh2W at its PBEsol-relaxed geometry.

Lattice parameters (Å, degrees): 2.830 2.830 6.809 90.00 90.00 90.00
Sites, in units of the cell vectors:
1 Si 0.000 0.000 0.000
2 Rh 0.000 0.000 0.508
3 Rh 0.500 0.500 0.806
4 W 0.500 0.500 0.256

No. 9
The following is a DFT calculation (meta-GGA SCAN) of CsTaPt3 at its PBEsol-relaxed geometry.

Lattice parameters (Å, degrees): 4.965 4.965 4.965 90.00 90.00 90.00
Sites, in units of the cell vectors:
1 Cs 0.000 0.000 0.000
2 Ta 0.500 0.500 0.500
3 Pt 0.000 0.000 0.500
4 Pt 0.000 0.500 0.000
5 Pt 0.500 0.000 0.000

Properties
formation enthalpy at 0 K	2.7639	eV per atom

No. 10
The following is a DFT calculation (meta-GGA SCAN) of GaReHAu2 at its PBEsol-relaxed geometry.

Lattice parameters (Å, degrees): 3.862 3.862 4.465 90.00 90.00 90.00
Sites, in units of the cell vectors:
1 Ga 0.000 0.000 0.000
2 Re 0.500 0.500 0.000
3 H 0.000 0.000 0.500
4 Au 0.000 0.500 0.500
5 Au 0.500 0.000 0.500

No. 11
The following is a DFT calculation (meta-GGA SCAN) of PPtSe2 at its PBEsol-relaxed geometry.

Lattice parameters (Å, degrees): 7.850 7.850 7.850 27.09 27.09 27.09
Sites, in units of the cell vectors:
1 P 0.000 0.000 0.000
2 Pt 0.500 0.500 0.500
3 Se 0.107 0.107 0.107
4 Se 0.893 0.893 0.893

No. 12
The following is a DFT calculation (meta-GGA SCAN) of Sr2BTePd at its PBEsol-relaxed geometry.

Lattice parameters (Å, degrees): 5.636 5.636 4.011 90.00 90.00 90.00
Sites, in units of the cell vectors:
1 Sr 0.000 0.500 0.000
2 Sr 0.500 0.000 0.000
3 B 0.000 0.000 0.000
4 Te 0.500 0.500 0.500
5 Pd 0.000 0.000 0.500

No. 13
The following is a DFT calculation (meta-GGA SCAN) of TlFeTeN2 at its PBEsol-relaxed geometry.

Lattice parameters (Å, degrees): 3.857 3.857 5.274 90.00 90.00 90.00
Sites, in units of the cell vectors:
1 Tl 0.000 0.000 0.000
2 Fe 0.500 0.500 0.500
3 Te 0.500 0.500 0.000
4 N 0.000 0.500 0.500
5 N 0.500 0.000 0.500

No. 14
The following is a DFT calculation (meta-GGA SCAN) of CaZnF3 at its PBEsol-relaxed geometry.

Lattice parameters (Å, degrees): 4.167 4.167 4.167 90.00 90.00 90.00
Sites, in units of the cell vectors:
1 Ca 0.000 0.000 0.000
2 Zn 0.500 0.500 0.500
3 F 0.000 0.500 0.500
4 F 0.500 0.000 0.500
5 F 0.500 0.500 0.000

No. 15
The following is a DFT calculation (meta-GGA SCAN) of Mo4P5O24 at its PBEsol-relaxed geometry.

Lattice parameters (Å, degrees): 9.656 9.656 14.962 115.93 115.93 51.27
Sites, in units of the cell vectors:
1 Mo 0.096 0.703 0.513
2 Mo 0.153 0.530 0.186
3 Mo 0.297 0.904 0.987
4 Mo 0.470 0.847 0.314
5 Mo 0.530 0.153 0.686
6 Mo 0.703 0.096 0.013
7 Mo 0.847 0.470 0.814
8 Mo 0.904 0.297 0.487
9 P 0.159 0.815 0.102
10 P 0.185 0.841 0.398
11 P 0.244 0.263 0.461
12 P 0.263 0.244 0.961
13 P 0.403 0.597 0.750
14 P 0.597 0.403 0.250
15 P 0.737 0.756 0.039
16 P 0.756 0.737 0.539
17 P 0.815 0.159 0.602
18 P 0.841 0.185 0.898
19 O 0.023 0.037 0.424
20 O 0.037 0.023 0.924
21 O 0.049 0.308 0.429
22 O 0.053 0.280 0.600
23 O 0.109 0.348 0.878
24 O 0.109 0.752 0.290
25 O 0.147 0.425 0.246
26 O 0.163 0.655 0.100
27 O 0.200 0.341 0.061
28 O 0.241 0.433 0.475
29 O 0.243 0.735 0.475
30 O 0.248 0.891 0.210
31 O 0.265 0.757 0.025
32 O 0.278 0.668 0.654
33 O 0.280 0.053 0.100
34 O 0.308 0.049 0.929
35 O 0.332 0.722 0.846
36 O 0.341 0.200 0.561
37 O 0.345 0.837 0.400
38 O 0.348 0.109 0.378
39 O 0.410 0.436 0.237
40 O 0.425 0.147 0.746
41 O 0.433 0.241 0.975
42 O 0.436 0.410 0.737
43 O 0.564 0.590 0.263
44 O 0.567 0.759 0.025
45 O 0.575 0.853 0.254
46 O 0.590 0.564 0.763
47 O 0.652 0.891 0.622
48 O 0.655 0.163 0.600
49 O 0.659 0.800 0.439
50 O 0.668 0.278 0.154
51 O 0.692 0.951 0.071
52 O 0.720 0.947 0.900
53 O 0.722 0.332 0.346
54 O 0.735 0.243 0.975
55 O 0.752 0.109 0.790
56 O 0.757 0.265 0.525
57 O 0.759 0.567 0.525
58 O 0.800 0.659 0.939
59 O 0.837 0.345 0.900
60 O 0.853 0.575 0.754
61 O 0.891 0.248 0.710
62 O 0.891 0.652 0.122
63 O 0.947 0.720 0.400
64 O 0.951 0.692 0.571
65 O 0.963 0.977 0.076
66 O 0.977 0.963 0.576

No. 16
The following is a DFT calculation (meta-GGA SCAN) of LiCuW at its PBEsol-relaxed geometry.

Lattice parameters (Å, degrees): 7.115 6.951 2.577 83.06 75.87 21.07
Sites, in units of the cell vectors:
1 Li 0.000 0.000 0.000
2 Cu 0.340 0.340 0.660
3 W 0.680 0.680 0.320

Properties
formation enthalpy at 0 K	0.3698	eV per atom

No. 17
The following is a DFT calculation (meta-GGA SCAN) of CuNiIr at its PBEsol-relaxed geometry.

Lattice parameters (Å, degrees): 2.615 2.615 6.184 90.00 90.00 120.00
Sites, in units of the cell vectors:
1 Cu 0.000 0.000 0.000
2 Ni 0.333 0.667 0.319
3 Ir 0.667 0.333 0.649

Properties
formation enthalpy at 0 K	0.0476	eV per atom

No. 18
The following is a DFT calculation (meta-GGA SCAN) of MgGeP2 at its PBEsol-relaxed geometry.

Lattice parameters (Å, degrees): 6.658 6.658 6.658 128.61 128.61 75.64
Sites, in units of the cell vectors:
1 Mg 0.000 0.000 0.000
2 Mg 0.750 0.250 0.500
3 Ge 0.250 0.750 0.500
4 Ge 0.500 0.500 0.000
5 P 0.155 0.625 0.030
6 P 0.375 0.405 0.530
7 P 0.595 0.125 0.970
8 P 0.875 0.845 0.470

Properties
formation enthalpy at 0 K	-0.3845	eV per atom

No. 19
The following is a DFT calculation (meta-GGA SCAN) of KBaBe2Re at its PBEsol-relaxed geometry.

Lattice parameters (Å, degrees): 5.168 5.168 5.452 90.00 90.00 90.00
Sites, in units of the cell vectors:
1 K 0.000 0.000 0.000
2 Ba 0.500 0.500 0.500
3 Be 0.000 0.500 0.000
4 Be 0.500 0.000 0.000
5 Re 0.000 0.000 0.500

Properties
formation enthalpy at 0 K	2.2751	eV per atom

No. 20
The following is a DFT calculation (meta-GGA SCAN) of BaMgSi2 at its PBEsol-relaxed geometry.

Lattice parameters (Å, degrees): 9.984 9.984 9.984 18.83 18.83 18.83
Sites, in units of the cell vectors:
1 Ba 0.000 0.000 0.000
2 Mg 0.500 0.500 0.500
3 Si 0.239 0.239 0.239
4 Si 0.761 0.761 0.761

Number 1: electronic total energy -31.497 eV/atom. Number 2: electronic total energy -25.854 eV/atom. Number 3: electronic total energy -26.799 eV/atom. Number 4: electronic total energy -9.125 eV/atom. Number 5: electronic total energy -39.902 eV/atom. Number 6: electronic total energy -17.768 eV/atom. Number 7: electronic total energy -42.436 eV/atom. Number 8: electronic total energy -37.209 eV/atom. Number 9: electronic total energy -60.231 eV/atom. Number 10: electronic total energy -45.206 eV/atom. Number 11: electronic total energy -29.975 eV/atom. Number 12: electronic total energy -25.110 eV/atom. Number 13: electronic total energy -28.212 eV/atom. Number 14: electronic total energy -9.224 eV/atom. Number 15: electronic total energy -12.577 eV/atom. Number 16: electronic total energy -28.723 eV/atom. Number 17: electronic total energy -34.110 eV/atom. Number 18: electronic total energy -11.599 eV/atom. Number 19: electronic total energy -23.262 eV/atom. Number 20: electronic total energy -15.735 eV/atom.